1.
{
  "formula": "MgCu2Se2",
  "functional": "GGA-PBEsol",
  "state": "optimized geometry",
  "e_form_raw_ev_per_atom": -0.41,
  "dos_at_fermi_per_ev_atom": 0.041,
  "polymorph_energy_ev_per_atom": 0.088,
  "cell": [[3.762, 0.000, 0.000], [0.000, 4.078, 0.061], [-1.881, -0.310, 5.919]],
  "species": ["Cu", "Cu", "Se", "Se", "Mg"],
  "fractional_positions": [[0.733, 0.800, 0.466], [0.267, 0.200, 0.534], [0.376, 0.709, 0.752], [0.624, 0.291, 0.248], [0.000, 0.000, 0.000]]
}

2.
{
  "formula": "Ca2AlGa2",
  "functional": "GGA-PBEsol",
  "state": "optimized geometry",
  "delta_e_f_kj_per_mol_atoms": -38.2,
  "dos_at_fermi_per_ev_atom": 0.620,
  "polymorph_energy_ev_per_atom": 0.000,
  "cell": [[-3.535, -0.915, 2.978], [3.426, -5.549, 2.362], [3.048, 3.937, 4.829]],
  "species": ["Ca", "Ca", "Ca", "Ca", "Al", "Al", "Ga", "Ga", "Ga", "Ga"],
  "fractional_positions": [[0.500, 0.175, 0.675], [0.500, 0.325, 0.175], [0.500, 0.675, 0.825], [0.500, 0.825, 0.325], [0.000, 0.000, 0.000], [0.000, 0.500, 0.500], [0.000, 0.370, 0.870], [0.000, 0.870, 0.630], [0.000, 0.630, 0.130], [0.000, 0.130, 0.370]]
}

3.
{
  "formula": "ZnTcOs",
  "functional": "GGA-PBEsol",
  "state": "optimized geometry",
  "delta_e_f_kj_per_mol_atoms": 2.3,
  "dos_at_fermi_per_ev_atom": 0.545,
  "polymorph_energy_ev_per_atom": 0.000,
  "cell": [[2.842, 0.000, 0.000], [0.000, 2.842, 0.000], [-1.421, -1.421, 5.093]],
  "species": ["Tc", "Zn", "Os"],
  "fractional_positions": [[0.662, 0.662, 0.324], [0.334, 0.334, 0.668], [0.004, 0.004, 0.007]]
}

4.
{
  "formula": "BaYOs3",
  "functional": "GGA-PBEsol",
  "state": "optimized geometry",
  "delta_e_f_kj_per_mol_atoms": 218.1,
  "dos_at_fermi_per_ev_atom": 2.069,
  "cell": [[-0.063, -0.092, -4.961], [-2.710, -4.155, 0.112], [-4.156, 2.711, 0.003]],
  "species": ["Os", "Os", "Os", "Y", "Ba"],
  "fractional_positions": [[0.500, 0.000, 0.000], [0.000, 0.500, 0.000], [0.000, 0.000, 0.500], [0.000, 0.000, 0.000], [0.500, 0.500, 0.500]]
}

5.
{
  "formula": "YSbBr2",
  "functional": "GGA-PBEsol",
  "state": "optimized geometry",
  "e_form_raw_ev_per_atom": -0.89,
  "dos_at_fermi_per_ev_atom": 0.093,
  "polymorph_energy_ev_per_atom": 0.000,
  "cell": [[4.110, 0.000, 0.000], [0.000, 4.110, 0.000], [0.000, 0.000, 7.007]],
  "species": ["Br", "Br", "Sb", "Y"],
  "fractional_positions": [[0.500, 0.500, 0.290], [0.000, 0.000, 0.957], [0.000, 0.000, 0.569], [0.500, 0.500, 0.685]]
}

6.
{
  "formula": "Ca2AuSe",
  "functional": "GGA-PBEsol",
  "state": "optimized geometry",
  "e_form_raw_ev_per_atom": -1.20,
  "dos_at_fermi_per_ev_atom": 0.478,
  "cell": [[4.199, 0.000, 0.000], [0.000, 4.201, 0.000], [0.000, 0.000, 5.887]],
  "species": ["Au", "Se", "Ca", "Ca"],
  "fractional_positions": [[0.500, 0.875, 0.500], [0.000, 0.375, 0.000], [0.000, 0.375, 0.500], [0.500, 0.875, 0.000]]
}

7.
{
  "formula": "Ba2LiBi2",
  "functional": "GGA-PBEsol",
  "state": "optimized geometry",
  "delta_e_f_kj_per_mol_atoms": -52.0,
  "dos_at_fermi_per_ev_atom": 0.176,
  "cell": [[-0.591, 2.884, 2.546], [5.146, -5.079, 6.948], [8.471, 4.422, -3.042]],
  "species": ["Li", "Li", "Bi", "Bi", "Bi", "Bi", "Ba", "Ba", "Ba", "Ba"],
  "fractional_positions": [[0.000, 0.000, 0.000], [0.000, 0.500, 0.500], [0.500, 0.169, 0.669], [0.500, 0.331, 0.169], [0.500, 0.831, 0.331], [0.500, 0.669, 0.831], [0.000, 0.130, 0.370], [0.000, 0.630, 0.130], [0.000, 0.370, 0.870], [0.000, 0.870, 0.630]]
}

8.
{
  "formula": "Hg2AsW",
  "functional": "GGA-PBEsol",
  "state": "optimized geometry",
  "delta_e_f_kj_per_mol_atoms": 61.7,
  "dos_at_fermi_per_ev_atom": 0.690,
  "cell": [[2.937, 0.000, 0.000], [1.468, 2.544, 0.000], [1.468, 0.848, 10.110]],
  "species": ["Hg", "Hg", "As", "W"],
  "fractional_positions": [[0.246, 0.246, 0.263], [0.754, 0.754, 0.737], [0.000, 0.000, 0.000], [0.500, 0.500, 0.500]]
}